# 1
Entry from the Alexandria database: AcGdI after structural relaxation (GGA-PBE).

a b c (Å): 5.619 5.619 4.031
angles (deg): 90.00 90.00 120.00
Positions (direct):
Ac  0.000  0.000  0.000
Gd  0.667  0.333  0.500
I  0.333  0.667  0.500

Computed properties:
- Theoretical density: 7.70 g cm⁻³

# 2
Entry from the Alexandria database: Ni8Cl after structural relaxation (GGA-PBE).

a b c (Å): 5.758 5.758 5.758
angles (deg): 95.21 95.21 144.92
Positions (direct):
Ni  0.000  0.341  0.341
Ni  0.000  0.659  0.659
Ni  0.325  0.325  0.650
Ni  0.325  0.675  0.000
Ni  0.341  0.000  0.341
Ni  0.659  0.000  0.659
Ni  0.675  0.325  0.000
Ni  0.675  0.675  0.350
Cl  0.000  0.000  0.000

Computed properties:
- Theoretical density: 8.01 g cm⁻³

For reference, formation energy without anion corrections by record: -0.271 0.258 eV/atom.